DFT (PBE-GGA) results for TbPmMg5 after structural relaxation.

The calculation puts the density at 3.5 g/cm3. The value obtained for the volume is 28.52 Å³/atom. Its energy of formation from the pure elements is 0.172 eV/atom.

The space group is Cmmm (No. 65) and the conventional cell measures 7.4317, 7.4579 and 7.2033 Å, with angles of 90.00, 90.00 and 90.00 degrees. The inequivalent atoms are Tb at (0.0000, 0.0000, 0.0000), Pm at (0.0000, 0.5000, 0.5000), Mg at (0.0000, 0.5000, 0.0000) and Mg at (0.2500, 0.2500, 0.2569).